# 1
A relaxed structure of Tb2Pr3Rh2, computed with PBE.

Calculated values
For the calculated density, the calculation gives 7.9 g cm⁻³. The symmetry is No. 12. The calculation puts the magnetic moment at 0.00 μB/f.u. For the formation energy, the calculation gives -0.470 eV per atom. Its uncorrected energy is -5.94 eV/atom.

a = 3.927 Å, b = 6.482 Å, c = 8.753 Å
α = 100.51°, β = 102.99°, γ = 107.63°
Element x y z (fractional)
Pr  0.500  0.000  0.000
Pr  0.186  0.799  0.574
Pr  0.814  0.201  0.426
Rh  0.944  0.131  0.758
Rh  0.056  0.869  0.242
Tb  0.359  0.531  0.187
Tb  0.641  0.469  0.813

***

# 2
A relaxed structure of Tb3PrRh8, computed with PBE.

Calculated values
For the calculated density, the calculation gives 10.9 g cm⁻³. The symmetry is No. 156. The calculation puts the magnetic moment at 0.00 μB/f.u. For the formation energy, the calculation gives -0.677 eV per atom. Its uncorrected energy is -7.13 eV/atom.

a = 5.365 Å, b = 5.365 Å, c = 8.796 Å
α = 90.00°, β = 90.00°, γ = 120.00°
Element x y z (fractional)
Rh  0.502  0.498  0.753
Rh  0.996  0.498  0.753
Rh  0.333  0.667  0.499
Rh  0.165  0.330  0.247
Rh  0.165  0.835  0.247
Rh  0.333  0.667  0.000
Rh  0.502  0.004  0.753
Rh  0.670  0.835  0.247
Tb  0.667  0.333  0.066
Tb  0.667  0.333  0.431
Tb  0.000  0.000  0.934
Pr  0.000  0.000  0.568

***

# 3
A relaxed structure of TbPrTh2Rh4, computed with PBE.

Calculated values
For the calculated density, the calculation gives 10.4 g cm⁻³. The symmetry is No. 42. The calculation puts the magnetic moment at 0.00 μB/f.u. For the formation energy, the calculation gives -0.746 eV per atom. Its uncorrected energy is -7.45 eV/atom.

a = 5.784 Å, b = 5.784 Å, c = 7.052 Å
α = 115.98°, β = 115.98°, γ = 86.08°
Element x y z (fractional)
Rh  0.014  0.416  0.000
Rh  0.639  0.639  0.465
Rh  0.416  0.014  0.000
Rh  0.174  0.174  0.535
Th  0.162  0.662  0.500
Th  0.662  0.162  0.500
Pr  0.930  0.930  0.000
Tb  0.501  0.501  0.000

***

# 4
A relaxed structure of TbPrZnRh, computed with PBE.

Calculated values
For the calculated density, the calculation gives 8.2 g cm⁻³. The symmetry is No. 38. The calculation puts the magnetic moment at 0.00 μB/f.u. For the formation energy, the calculation gives -0.534 eV per atom. Its uncorrected energy is -5.04 eV/atom. The value obtained for the energy above the most stable polymorph in this dataset is 0 meV/atom.

a = 3.981 Å, b = 4.424 Å, c = 5.769 Å
α = 90.00°, β = 110.18°, γ = 90.00°
Element x y z (fractional)
Zn  0.569  0.500  0.138
Rh  0.425  0.000  0.850
Tb  0.863  0.500  0.727
Pr  0.143  0.000  0.286

***

# 5
A relaxed structure of TbPrZnRh, computed with PBE.

Calculated values
For the calculated density, the calculation gives 8.5 g cm⁻³. The symmetry is No. 216. The calculation puts the magnetic moment at 0.00 μB/f.u. For the formation energy, the calculation gives -0.508 eV per atom. Its uncorrected energy is -5.02 eV/atom. The value obtained for the energy above the most stable polymorph in this dataset is 26 meV/atom.

a = 5.056 Å, b = 5.056 Å, c = 5.056 Å
α = 60.00°, β = 60.00°, γ = 60.00°
Element x y z (fractional)
Tb  0.250  0.250  0.250
Pr  0.750  0.750  0.750
Zn  0.500  0.500  0.500
Rh  0.000  0.000  0.000

***

# 6
A relaxed structure of PrTcRh, computed with PBE.

Calculated values
For the calculated density, the calculation gives 9.3 g cm⁻³. The symmetry is No. 65. The calculation puts the magnetic moment at 0.17 μB/f.u. For the formation energy, the calculation gives 0.096 eV per atom. Its uncorrected energy is -7.40 eV/atom.

a = 4.843 Å, b = 3.420 Å, c = 10.400 Å
α = 90.00°, β = 90.00°, γ = 135.08°
Element x y z (fractional)
Tc  0.694  0.389  0.385
Tc  0.694  0.389  0.615
Rh  0.694  0.389  0.000
Rh  0.194  0.389  0.500
Pr  0.194  0.389  0.823
Pr  0.194  0.389  0.177

***

# 7
A relaxed structure of Pr5TeRh2, computed with PBE.

Calculated values
For the calculated density, the calculation gives 7.6 g cm⁻³. The symmetry is No. 140. The uncorrected formation energy is -5.70 eV per formula unit. The calculation puts the magnetic moment at 0.00 μB/f.u. Its uncorrected energy is -5.93 eV/atom.

a = 8.090 Å, b = 8.090 Å, c = 8.995 Å
α = 116.72°, β = 116.72°, γ = 90.00°
Element x y z (fractional)
Rh  0.642  0.142  0.000
Rh  0.358  0.858  0.000
Rh  0.142  0.358  0.000
Rh  0.858  0.642  0.000
Te  0.750  0.750  0.500
Te  0.250  0.250  0.500
Pr  0.792  0.981  0.273
Pr  0.292  0.792  0.273
Pr  0.981  0.481  0.273
Pr  0.500  0.500  0.000
Pr  0.000  0.000  0.000
Pr  0.708  0.208  0.727
Pr  0.519  0.708  0.727
Pr  0.019  0.519  0.727
Pr  0.208  0.019  0.727
Pr  0.481  0.292  0.273

***

# 8
A relaxed structure of Pr3TeRh, computed with PBE.

Calculated values
For the calculated density, the calculation gives 7.2 g cm⁻³. The symmetry is No. 11. The uncorrected formation energy is -4.19 eV per formula unit. The calculation puts the magnetic moment at 0.00 μB/f.u. Its uncorrected energy is -5.80 eV/atom.

a = 4.230 Å, b = 8.375 Å, c = 8.906 Å
α = 105.95°, β = 90.00°, γ = 90.00°
Element x y z (fractional)
Pr  0.750  0.306  0.937
Pr  0.250  0.318  0.590
Pr  0.250  0.694  0.063
Pr  0.750  0.682  0.410
Pr  0.750  0.075  0.260
Pr  0.250  0.925  0.740
Te  0.250  0.384  0.233
Te  0.750  0.616  0.767
Rh  0.250  0.921  0.392
Rh  0.750  0.079  0.608

***

# 9
A relaxed structure of Pr4TeRh, computed with PBE.

Calculated values
For the calculated density, the calculation gives 7.1 g cm⁻³. The symmetry is No. 15. The uncorrected formation energy is -3.84 eV per formula unit. The calculation puts the magnetic moment at 0.00 μB/f.u. Its uncorrected energy is -5.57 eV/atom.

a = 6.373 Å, b = 8.343 Å, c = 8.550 Å
α = 113.43°, β = 104.74°, γ = 104.03°
Element x y z (fractional)
Pr  0.020  0.207  0.869
Pr  0.980  0.793  0.131
Pr  0.651  0.338  0.131
Pr  0.342  0.926  0.623
Pr  0.349  0.662  0.869
Pr  0.658  0.074  0.377
Pr  0.781  0.697  0.623
Pr  0.219  0.303  0.377
Te  0.373  0.623  0.246
Te  0.627  0.377  0.754
Rh  0.248  0.998  0.995
Rh  0.752  0.002  0.005

***

# 10
A relaxed structure of Pr6Te5Rh, computed with PBE.

Calculated values
For the calculated density, the calculation gives 6.8 g cm⁻³. The symmetry is No. 12. The uncorrected formation energy is -15.85 eV per formula unit. The calculation puts the magnetic moment at 0.00 μB/f.u. Its uncorrected energy is -5.63 eV/atom.

a = 7.785 Å, b = 9.005 Å, c = 7.797 Å
α = 106.95°, β = 99.70°, γ = 124.93°
Element x y z (fractional)
Te  0.336  0.336  0.672
Te  0.320  0.820  0.641
Te  0.664  0.664  0.328
Te  0.680  0.180  0.359
Te  0.000  0.500  0.000
Pr  0.531  0.773  0.000
Pr  0.847  0.074  0.696
Pr  0.153  0.926  0.304
Pr  0.849  0.622  0.696
Pr  0.469  0.227  0.000
Pr  0.151  0.378  0.304
Rh  0.000  0.000  0.000

***

# 11
A relaxed structure of Pr5Te4Rh, computed with PBE.

Calculated values
For the calculated density, the calculation gives 6.9 g cm⁻³. The symmetry is No. 139. The uncorrected formation energy is -12.57 eV per formula unit. The calculation puts the magnetic moment at 0.00 μB/f.u. Its uncorrected energy is -5.64 eV/atom.

a = 4.461 Å, b = 4.461 Å, c = 16.267 Å
α = 97.88°, β = 97.88°, γ = 90.00°
Element x y z (fractional)
Te  0.809  0.809  0.618
Te  0.603  0.603  0.206
Te  0.191  0.191  0.382
Te  0.397  0.397  0.794
Pr  0.708  0.708  0.416
Pr  0.085  0.085  0.170
Pr  0.500  0.500  0.000
Pr  0.292  0.292  0.584
Pr  0.915  0.915  0.830
Rh  0.000  0.000  0.000

***

# 12
A relaxed structure of Pr4Te3Rh, computed with PBE.

Calculated values
For the calculated density, the calculation gives 6.8 g cm⁻³. The symmetry is No. 65. The uncorrected formation energy is -9.72 eV per formula unit. The calculation puts the magnetic moment at 0.00 μB/f.u. Its uncorrected energy is -5.70 eV/atom.

a = 4.363 Å, b = 7.839 Å, c = 7.839 Å
α = 108.39°, β = 90.00°, γ = 90.00°
Element x y z (fractional)
Rh  0.500  0.000  0.000
Pr  0.500  0.235  0.765
Pr  0.000  0.785  0.785
Pr  0.000  0.215  0.215
Pr  0.500  0.765  0.235
Te  0.500  0.500  0.500
Te  0.000  0.500  0.000
Te  0.000  0.000  0.500

***

# 13
A relaxed structure of PrThTeRh, computed with PBE.

Calculated values
For the calculated density, the calculation gives 8.5 g cm⁻³. The symmetry is No. 160. The uncorrected formation energy is -4.19 eV per formula unit. The calculation puts the magnetic moment at 0.00 μB/f.u. Its uncorrected energy is -6.72 eV/atom.

a = 4.179 Å, b = 4.179 Å, c = 8.173 Å
α = 90.00°, β = 104.81°, γ = 120.00°
Element x y z (fractional)
Rh  0.313  0.554  0.883
Th  0.103  0.950  0.068
Pr  0.496  0.146  0.657
Te  0.966  0.381  0.362

***

# 14
A relaxed structure of PrThRh, computed with PBE.

Calculated values
For the calculated density, the calculation gives 8.8 g cm⁻³. The symmetry is No. 156. The calculation puts the magnetic moment at 0.00 μB/f.u. For the formation energy, the calculation gives -0.462 eV per atom. Its uncorrected energy is -6.98 eV/atom. The value obtained for the energy above the most stable polymorph in this dataset is 29 meV/atom.

a = 4.004 Å, b = 4.004 Å, c = 6.500 Å
α = 90.00°, β = 90.00°, γ = 120.00°
Element x y z (fractional)
Rh  0.667  0.333  0.349
Pr  0.000  0.000  0.067
Th  0.333  0.667  0.584

***

# 15
A relaxed structure of PrThRh2, computed with PBE.

Calculated values
For the calculated density, the calculation gives 9.6 g cm⁻³. The symmetry is No. 160. The calculation puts the magnetic moment at 0.00 μB/f.u. For the formation energy, the calculation gives -0.666 eV per atom. Its uncorrected energy is -7.39 eV/atom.

a = 4.028 Å, b = 4.028 Å, c = 7.466 Å
α = 74.35°, β = 74.35°, γ = 60.00°
Element x y z (fractional)
Th  0.669  0.669  0.993
Rh  0.079  0.079  0.763
Rh  0.255  0.255  0.234
Pr  0.497  0.497  0.510

***

# 16
A relaxed structure of PrThRh2, computed with PBE.

Calculated values
For the calculated density, the calculation gives 10.4 g cm⁻³. The symmetry is No. 123. The calculation puts the magnetic moment at 0.00 μB/f.u. For the formation energy, the calculation gives -0.726 eV per atom. Its uncorrected energy is -7.45 eV/atom.

a = 3.574 Å, b = 3.574 Å, c = 7.205 Å
α = 90.00°, β = 90.00°, γ = 90.00°
Element x y z (fractional)
Rh  0.000  0.000  0.781
Rh  0.000  0.000  0.219
Pr  0.500  0.500  0.500
Th  0.500  0.500  0.000

***

# 17
A relaxed structure of Pr3ThRh8, computed with PBE.

Calculated values
For the calculated density, the calculation gives 10.8 g cm⁻³. The symmetry is No. 160. The calculation puts the magnetic moment at 0.00 μB/f.u. For the formation energy, the calculation gives -0.670 eV per atom. Its uncorrected energy is -7.38 eV/atom.

a = 5.438 Å, b = 5.438 Å, c = 9.399 Å
α = 73.18°, β = 73.18°, γ = 60.00°
Element x y z (fractional)
Rh  0.937  0.440  0.685
Rh  0.187  0.187  0.438
Rh  0.935  0.438  0.190
Rh  0.440  0.937  0.685
Rh  0.688  0.688  0.937
Rh  0.438  0.935  0.190
Rh  0.438  0.438  0.190
Rh  0.937  0.937  0.685
Pr  0.374  0.374  0.877
Pr  0.498  0.498  0.505
Pr  0.002  0.002  0.995
Th  0.876  0.876  0.373

***

# 18
A relaxed structure of PrTh3Rh2, computed with PBE.

Calculated values
For the calculated density, the calculation gives 10.8 g cm⁻³. The symmetry is No. 12. The calculation puts the magnetic moment at 0.00 μB/f.u. For the formation energy, the calculation gives -0.509 eV per atom. Its uncorrected energy is -7.47 eV/atom.

a = 4.618 Å, b = 8.655 Å, c = 9.248 Å
α = 115.33°, β = 90.00°, γ = 105.47°
Element x y z (fractional)
Th  0.708  0.416  0.355
Th  0.292  0.584  0.645
Th  0.060  0.121  0.394
Th  0.633  0.267  0.728
Th  0.940  0.879  0.606
Th  0.367  0.733  0.272
Pr  0.890  0.781  0.973
Pr  0.110  0.219  0.027
Rh  0.519  0.039  0.180
Rh  0.755  0.509  0.105
Rh  0.245  0.491  0.895
Rh  0.481  0.961  0.820

***

# 19
A relaxed structure of Pr2Th4Rh9, computed with PBE.

Calculated values
For the calculated density, the calculation gives 10.8 g cm⁻³. The symmetry is No. 164. The calculation puts the magnetic moment at 0.00 μB/f.u. For the formation energy, the calculation gives -0.727 eV per atom. Its uncorrected energy is -7.75 eV/atom.

a = 4.663 Å, b = 4.663 Å, c = 17.440 Å
α = 90.00°, β = 90.00°, γ = 120.00°
Element x y z (fractional)
Pr  0.667  0.333  0.249
Pr  0.333  0.667  0.751
Rh  0.000  0.000  0.500
Rh  0.000  0.000  0.161
Rh  0.333  0.667  0.579
Rh  0.667  0.333  0.421
Rh  0.667  0.333  0.066
Rh  0.333  0.667  0.934
Rh  0.000  0.000  0.666
Rh  0.000  0.000  0.839
Rh  0.000  0.000  0.334
Th  0.333  0.667  0.406
Th  0.667  0.333  0.899
Th  0.333  0.667  0.101
Th  0.667  0.333  0.594

***

# 20
A relaxed structure of PrThRh2, computed with PBE.

Calculated values
For the calculated density, the calculation gives 9.8 g cm⁻³. The symmetry is No. 53. The calculation puts the magnetic moment at 0.00 μB/f.u. For the formation energy, the calculation gives -0.728 eV per atom. Its uncorrected energy is -7.45 eV/atom.

a = 5.839 Å, b = 5.837 Å, c = 11.566 Å
α = 89.99°, β = 90.00°, γ = 90.00°
Element x y z (fractional)
Th  0.750  0.500  0.375
Th  0.250  0.500  0.625
Th  0.750  0.000  0.125
Th  0.250  0.000  0.875
Pr  0.750  0.500  0.875
Pr  0.750  0.000  0.625
Pr  0.250  0.000  0.375
Pr  0.250  0.500  0.125
Rh  0.250  0.500  0.385
Rh  0.250  0.000  0.635
Rh  0.750  0.500  0.135
Rh  0.750  0.000  0.365
Rh  0.250  0.500  0.865
Rh  0.250  0.000  0.115
Rh  0.750  0.500  0.615
Rh  0.750  0.000  0.885